VASP calculation (PBE-GGA) on Nd3DyIr after structural relaxation. Values from VASP.

Cell and atoms, written as Quantum ESPRESSO input:
```
&SYSTEM
  ibrav = 0, nat = 5, ntyp = 3
/
ATOMIC_SPECIES
Nd 144.24 Nd.upf
Dy 162.50 Dy.upf
Ir 192.22 Ir.upf
CELL_PARAMETERS angstrom
5.6080 0.0000 0.0000
0.0000 5.6080 0.0000
0.0000 0.0000 5.6080
ATOMIC_POSITIONS angstrom
Nd 0.0000 0.0000 2.8040
Nd 0.0000 2.8040 0.0000
Nd 2.8040 0.0000 0.0000
Dy 2.8040 2.8040 2.8040
Ir 0.0000 0.0000 0.0000
```



VASP calculation (PBE-GGA) on LaHoTmCd after structural relaxation. Values from VASP.

Cell and atoms, written as Quantum ESPRESSO input:
```
&SYSTEM
  ibrav = 0, nat = 4, ntyp = 4
/
ATOMIC_SPECIES
La 138.91 La.upf
Ho 164.93 Ho.upf
Tm 168.93 Tm.upf
Cd 112.41 Cd.upf
CELL_PARAMETERS angstrom
3.6591 0.0000 0.0000
0.0000 3.6591 0.0000
0.0000 0.0000 8.9184
ATOMIC_POSITIONS angstrom
La 0.0000 0.0000 0.0000
Ho 1.8295 1.8295 6.3599
Tm 1.8295 1.8295 2.5338
Cd 0.0000 0.0000 4.4202
```



VASP calculation (PBE-GGA) on Nd2Dy6Tm3Mg after structural relaxation. Values from VASP.

Cell and atoms, written as Quantum ESPRESSO input:
```
&SYSTEM
  ibrav = 0, nat = 12, ntyp = 4
/
ATOMIC_SPECIES
Nd 144.24 Nd.upf
Dy 162.50 Dy.upf
Tm 168.93 Tm.upf
Mg 24.30 Mg.upf
CELL_PARAMETERS angstrom
3.0514 -5.2903 0.0000
3.0514 5.2903 0.0000
-2.0480 0.0000 11.5196
ATOMIC_POSITIONS angstrom
Nd 3.0514 3.5296 0.0000
Nd 3.0514 -3.5296 0.0000
Dy -0.0022 1.7539 8.6028
Dy 1.0191 0.0000 2.9264
Dy -0.0022 -1.7539 8.6028
Dy 4.0571 1.7539 2.9168
Dy 3.0358 0.0000 8.5932
Dy 4.0571 -1.7539 2.9168
Tm -1.0240 0.0000 5.7598
Tm 2.0275 1.7522 5.7598
Tm 2.0275 -1.7522 5.7598
Mg 3.0514 0.0000 0.0000
```



For reference, E_tot by record: -28.342; -15.423; -51.904 eV per cell.